No. 1
VASP calculation (PBE) on a relaxed VCrS2 crystal.

Cell: 3.1956 3.1956 22.8224 Å, 90.00 90.00 120.00°
Space group R-3m (No. 166, hexagonal axes)
Unique sites:
V (0.0000, 0.0000, 0.0000) [3 per cell]
Cr (0.0000, 0.0000, 0.5000) [3 per cell]
S (0.0000, 0.0000, 0.3978) [6 per cell]

Results
ΔE to the lowest computed polymorph   160 meV/atom
Crystal system   trigonal
VASP energy   -7.14 eV/atom
Uncorrected formation energy   -1.57 eV per formula unit


No. 2
VASP calculation (PBE) on a relaxed CrW3S crystal.

Cell: 4.374 4.374 4.374 Å, 90.00 90.00 90.00°
Space group Pm-3m (No. 221)
Unique sites:
Cr (0.000, 0.000, 0.000) [1 per cell]
W (0.000, 0.500, 0.500) [3 per cell]
S (0.500, 0.500, 0.500) [1 per cell]

Results
ΔE to the lowest computed polymorph   0 meV/atom
Crystal system   cubic
VASP energy   -9.36 eV/atom
Uncorrected formation energy   5.79 eV per formula unit


No. 3
VASP calculation (PBE) on a relaxed Cr2WS crystal.

Cell: 6.791 6.791 4.875 Å, 90.00 90.00 90.00°
Space group I-42d (No. 122)
Unique sites:
Cr (0.168, 0.250, 0.125) [8 per cell]
W (0.000, 0.000, 0.500) [4 per cell]
S (0.000, 0.000, 0.000) [4 per cell]

Results
Crystal system   tetragonal
VASP energy   -8.61 eV/atom
Uncorrected formation energy   1.88 eV per formula unit


No. 4
VASP calculation (PBE) on a relaxed CrW3S crystal.

Cell: 4.523 4.523 4.523 Å, 90.00 90.00 90.00°
Space group Pm-3m (No. 221)
Unique sites:
Cr (0.000, 0.000, 0.000) [1 per cell]
W (0.000, 0.000, 0.500) [3 per cell]
S (0.500, 0.500, 0.500) [1 per cell]

Results
ΔE to the lowest computed polymorph   685 meV/atom
Crystal system   cubic
VASP energy   -8.68 eV/atom
Uncorrected formation energy   9.21 eV per formula unit


No. 5
VASP calculation (PBE) on a relaxed CrW2S crystal.

Cell: 3.709 3.709 18.577 Å, 90.00 90.00 90.00°
Space group I-42d (No. 122)
Unique sites:
Cr (0.000, 0.000, 0.000) [4 per cell]
W (0.248, 0.250, 0.625) [8 per cell]
S (0.000, 0.000, 0.500) [4 per cell]

Results
Crystal system   tetragonal
VASP energy   -9.19 eV/atom
Uncorrected formation energy   2.90 eV per formula unit


No. 6
VASP calculation (PBE) on a relaxed CrWS crystal.

Cell: 3.094 3.094 10.013 Å, 90.00 90.00 90.00°
Space group P4/nmm (No. 129, origin choice 2)
Unique sites:
Cr (0.250, 0.250, 0.232) [2 per cell]
W (0.250, 0.250, 0.923) [2 per cell]
S (0.250, 0.250, 0.665) [2 per cell]

Results
Crystal system   tetragonal
VASP energy   -9.04 eV/atom
Uncorrected formation energy   -0.42 eV per formula unit


No. 7
VASP calculation (PBE) on a relaxed YCr2S crystal.

Cell: 4.081 4.081 16.832 Å, 90.00 90.00 90.00°
Space group I-42d (No. 122)
Unique sites:
Y (0.000, 0.000, 0.000) [4 per cell]
Cr (0.077, 0.250, 0.625) [8 per cell]
S (0.000, 0.000, 0.500) [4 per cell]

Results
Crystal system   tetragonal
VASP energy   -7.40 eV/atom
Uncorrected formation energy   0.23 eV per formula unit


No. 8
VASP calculation (PBE) on a relaxed Y2CrS2 crystal.

Cell: 5.444 5.444 8.066 Å, 90.00 90.00 90.00°
Space group I4/mmm (No. 139)
Unique sites:
Y (0.000, 0.500, 0.250) [4 per cell]
Cr (0.000, 0.000, 0.000) [2 per cell]
S (0.000, 0.000, 0.286) [4 per cell]

Results
Crystal system   tetragonal
VASP energy   -7.12 eV/atom
Uncorrected formation energy   -4.81 eV per formula unit


No. 9
VASP calculation (PBE) on a relaxed Y2CrS crystal.

Cell: 7.574 7.574 7.199 Å, 90.00 90.00 90.00°
Space group I-42d (No. 122)
Unique sites:
Y (0.216, 0.250, 0.125) [8 per cell]
Cr (0.000, 0.000, 0.500) [4 per cell]
S (0.000, 0.000, 0.000) [4 per cell]

Results
Crystal system   tetragonal
VASP energy   -6.91 eV/atom
Uncorrected formation energy   -0.97 eV per formula unit


No. 10
VASP calculation (PBE) on a relaxed YCrS2 crystal.

Cell: 6.403 6.403 6.403 Å, 90.00 90.00 90.00°
Space group Fm-3m (No. 225)
Unique sites:
Y (0.000, 0.000, 0.000) [4 per cell]
Cr (0.000, 0.000, 0.500) [4 per cell]
S (0.250, 0.250, 0.250) [8 per cell]

Results
ΔE to the lowest computed polymorph   396 meV/atom
Crystal system   cubic
VASP energy   -6.74 eV/atom
Uncorrected formation energy   -2.62 eV per formula unit


No. 11
VASP calculation (PBE) on a relaxed YCrS3 crystal.

Cell: 4.591 4.591 4.591 Å, 90.00 90.00 90.00°
Space group Pm-3m (No. 221)
Unique sites:
Y (0.000, 0.000, 0.000) [1 per cell]
Cr (0.500, 0.500, 0.500) [1 per cell]
S (0.000, 0.500, 0.500) [3 per cell]

Results
Crystal system   cubic
VASP energy   -6.59 eV/atom
Uncorrected formation energy   -4.47 eV per formula unit


No. 12
VASP calculation (PBE) on a relaxed YCrS3 crystal.

Cell: 7.696 5.949 8.611 Å, 90.00 97.42 90.00°
Space group P2_1/c (No. 14)
Unique sites:
Y (0.147, 0.238, 0.174) [4 per cell]
Cr (0.410, 0.746, 0.576) [4 per cell]
S (0.093, 0.708, 0.111) [4 per cell]
S (0.315, 0.085, 0.942) [4 per cell]
S (0.416, 0.560, 0.826) [4 per cell]

Results
Crystal system   monoclinic
VASP energy   -6.98 eV/atom
Uncorrected formation energy   -6.44 eV per formula unit